Compound: NpCuSn
Source: Alexandria via LeMat-Bulk
Functional: PBE
Structure: optimized geometry

```
NpCuSn
1.0
4.768 0.000 0.000
-2.384 4.129 0.000
0.000 0.000 3.227
Np Cu Sn
1 1 1
Cartesian
0.000 0.000 0.000 Np
0.000 2.753 1.614 Cu
2.384 1.376 1.614 Sn
```

Values from the calculation:
- ΔE_f (eV per atom) = 0.046

***

Compound: Sm6AlPt2
Source: Alexandria via LeMat-Bulk
Functional: PBE
Structure: optimized geometry

```
Sm6AlPt2
1.0
-4.767 4.930 5.346
4.767 -4.930 5.346
4.767 4.930 -5.346
Sm Al Pt
12 2 4
Cartesian
4.767 3.021 -2.812 Sm
2.746 1.777 0.000 Sm
6.788 1.777 0.000 Sm
1.874 4.930 -1.816 Sm
2.893 0.000 3.530 Sm
0.000 1.910 2.535 Sm
4.767 3.021 2.812 Sm
1.874 4.930 1.816 Sm
2.893 0.000 7.162 Sm
-2.021 3.154 5.346 Sm
2.021 3.154 5.346 Sm
0.000 1.910 8.158 Sm
0.000 0.000 0.000 Al
0.000 0.000 5.346 Al
4.767 0.000 1.423 Pt
0.000 3.309 0.000 Pt
0.000 6.552 0.000 Pt
0.000 4.930 3.923 Pt
```

Values from the calculation:
- ΔE_f (eV per atom) = -0.634

***

Compound: LiEr2PaS5
Source: Alexandria via LeMat-Bulk
Functional: PBE
Structure: optimized geometry

```
LiEr2PaS5
1.0
1.913 -8.074 0.000
1.913 8.074 0.000
0.000 0.000 11.916
Li Er Pa S
2 4 2 10
Cartesian
1.913 7.839 5.958 Li
1.913 -7.839 0.000 Li
1.913 2.044 3.754 Er
1.913 1.754 8.530 Er
1.913 -1.754 2.572 Er
1.913 -2.044 9.711 Er
1.913 3.230 0.352 Pa
1.913 -3.230 6.310 Pa
1.913 8.029 9.626 S
1.913 5.919 0.403 S
1.913 5.035 4.354 S
1.913 4.652 8.277 S
1.913 0.756 1.174 S
1.913 -0.756 7.132 S
1.913 -4.652 2.319 S
1.913 -5.035 10.311 S
1.913 -5.919 6.361 S
1.913 -8.029 3.669 S
```

Values from the calculation:
- formation energy (no corrections) (meV/atom) = -1682

***

Compound: BeInTeAs2
Source: Alexandria via LeMat-Bulk
Functional: PBE
Structure: optimized geometry

```
BeInTeAs2
1.0
5.347 0.000 0.000
0.000 5.347 0.000
0.000 0.000 5.986
Be In Te As
1 1 1 2
Cartesian
0.000 0.000 0.000 Be
2.674 2.674 0.000 In
2.674 2.674 2.993 Te
0.000 2.674 2.993 As
2.674 0.000 2.993 As
```

Values from the calculation:
- formation energy (no corrections) (meV/atom) = 1279

***

Compound: Ba2BePd2
Source: Alexandria via LeMat-Bulk
Functional: PBE
Structure: optimized geometry

```
Ba2BePd2
1.0
7.369 0.000 0.000
0.000 7.369 0.000
0.000 0.000 4.795
Ba Be Pd
4 2 4
Cartesian
1.282 2.402 0.000 Ba
2.402 6.087 0.000 Ba
4.967 1.282 0.000 Ba
6.087 4.967 0.000 Ba
0.000 0.000 2.398 Be
3.684 3.684 2.398 Be
1.030 4.714 2.398 Pd
2.655 1.030 2.398 Pd
4.714 6.339 2.398 Pd
6.339 2.655 2.398 Pd
```

Values from the calculation:
- ΔE_f (eV per atom) = -0.066

***

Compound: MnAlRu3
Source: Alexandria via LeMat-Bulk
Functional: PBE
Structure: optimized geometry

```
MnAlRu3
1.0
4.341 0.000 0.000
0.000 4.341 0.000
0.000 0.000 4.341
Mn Al Ru
1 1 3
Cartesian
0.000 0.000 0.000 Mn
2.171 2.171 2.171 Al
0.000 2.171 2.171 Ru
2.171 0.000 2.171 Ru
2.171 2.171 0.000 Ru
```

Values from the calculation:
- ΔE_f (eV per atom) = 1.462

***

Compound: BaAs
Source: Alexandria via LeMat-Bulk
Functional: PBE
Structure: optimized geometry

```
BaAs
1.0
2.412 -5.673 0.000
2.412 5.673 0.000
0.000 0.000 5.143
Ba As
2 2
Cartesian
2.412 4.110 3.858 Ba
2.412 -4.110 1.286 Ba
2.412 0.595 3.858 As
2.412 -0.595 1.286 As
```

Values from the calculation:
- ΔE_f (eV per atom) = -0.856

***

Compound: Ta3AlCr8
Source: Alexandria via LeMat-Bulk
Functional: PBE
Structure: optimized geometry

```
Ta3AlCr8
1.0
4.867 0.000 0.000
-2.433 4.215 0.000
0.000 0.000 7.984
Ta Al Cr
3 1 8
Cartesian
0.000 0.000 0.000 Ta
0.000 0.000 3.039 Ta
0.000 2.810 6.987 Ta
0.000 2.810 4.015 Al
-1.187 2.124 1.522 Cr
1.199 0.692 5.487 Cr
1.187 2.124 1.522 Cr
0.000 4.181 1.522 Cr
2.433 1.405 3.496 Cr
2.433 1.405 7.495 Cr
3.668 0.692 5.487 Cr
2.433 2.830 5.487 Cr
```

Values from the calculation:
- ΔE_f (eV per atom) = -0.119